No. 1
The following is a PBE-GGA calculation of Ca2CdCl after structural relaxation, from Alexandria via LeMat-Bulk.

Calculated values
Its excess energy over the best structure of this formula in the dataset is 126 meV/atom. Its space-group type is P4mm. The value obtained for the raw total energy is -10.158 eV for the cell shown. As for the raw formation energy: -0.848 eV per atom.

abc: 4.3550 4.3550 6.3196
angles: 90.00 90.00 90.00
Sites, in units of the cell vectors:
Ca1 0.0000 0.0000 0.8766
Ca2 0.5000 0.5000 0.3596
Cl1 0.5000 0.5000 0.8837
Cd1 0.0000 0.0000 0.3801

No. 2
The following is a PBE-GGA calculation of Tb2HoCu4 after structural relaxation, from Alexandria via LeMat-Bulk.

Calculated values
Its space-group type is I4/mmm. The value obtained for the raw total energy is -30.345 eV for the cell shown. The formation energy comes out at -1.7 kJ per mole of atoms.

abc: 5.1064 5.1064 6.7725
angles: 112.15 112.15 90.00
Sites, in units of the cell vectors:
Tb1 0.7107 0.7107 0.4214
Tb2 0.2893 0.2893 0.5786
Ho1 0.0000 0.0000 0.0000
Cu1 0.3843 0.8843 0.7685
Cu2 0.8843 0.3843 0.7685
Cu3 0.6157 0.1157 0.2315
Cu4 0.1157 0.6157 0.2315

No. 3
The following is a PBE-GGA calculation of Nd12CoPd6 after structural relaxation, from Alexandria via LeMat-Bulk.

Calculated values
Its space-group type is R-3. The value obtained for the raw total energy is -103.354 eV for the cell shown. The formation energy comes out at -40.0 kJ per mole of atoms.

abc: 8.3991 8.3991 8.3991
angles: 98.03 98.03 98.03
Sites, in units of the cell vectors:
Nd1 0.8174 0.5813 0.4201
Nd2 0.4201 0.8174 0.5813
Nd3 0.5813 0.4201 0.8174
Nd4 0.1826 0.4187 0.5799
Nd5 0.5799 0.1826 0.4187
Nd6 0.4187 0.5799 0.1826
Nd7 0.0709 0.9652 0.3150
Nd8 0.0348 0.6850 0.9291
Nd9 0.6850 0.9291 0.0348
Nd10 0.9291 0.0348 0.6850
Nd11 0.9652 0.3150 0.0709
Nd12 0.3150 0.0709 0.9652
Co1 0.0000 0.0000 0.0000
Pd1 0.6908 0.8708 0.3777
Pd2 0.6223 0.3092 0.1292
Pd3 0.1292 0.6223 0.3092
Pd4 0.3092 0.1292 0.6223
Pd5 0.3777 0.6908 0.8708
Pd6 0.8708 0.3777 0.6908

Question: Which formula does entry 3 have?
Answer: Nd12CoPd6

Question: Among the records above, which one has the highest raw total energy?
Answer: Ca2CdCl